# 1
AcPmIrCl: relaxed, GGA-PBE.

Cell and atoms, written as POSCAR:
```
AcPmIrCl
1.0
2.1083 1.2172 7.8669
-2.1083 1.2172 7.8669
0.0000 -2.4345 7.8669
Ac Pm Ir Cl
1 1 1 1
Cartesian
0.0000 0.0000 0.0000
0.0000 0.0000 4.7475
0.0000 0.0000 14.0945
0.0000 0.0000 18.3658
```

Computed properties:
energy relative to the elements, uncorrected = -1.213 eV/atom
total energy = -6.105 eV per atom


# 2
Ac6Ir3Pt2Cl: relaxed, GGA-PBE.

Cell and atoms, written as POSCAR:
```
Ac6Ir3Pt2Cl
1.0
9.5900 -2.1697 0.0000
9.5900 2.1697 0.0000
-2.1798 0.0000 8.5950
Ac Ir Pt Cl
6 3 2 1
Cartesian
-0.4403 0.0000 1.9588
5.2998 0.0000 3.6162
4.4231 0.0000 7.8411
12.5770 0.0000 0.7539
11.7003 0.0000 4.9788
17.4404 0.0000 6.6362
2.3851 0.0000 2.8528
9.5900 0.0000 0.0000
14.6150 0.0000 5.7422
1.3413 0.0000 7.1135
15.6589 0.0000 1.4815
8.5001 0.0000 4.2975
```

Computed properties:
energy relative to the elements, uncorrected = -0.997 eV/atom
total energy = -6.427 eV per atom


# 3
Ac6Ir2PtCl2: relaxed, GGA-PBE.

Cell and atoms, written as POSCAR:
```
Ac6Ir2PtCl2
1.0
3.8247 -6.5995 0.0000
3.8247 6.5995 0.0000
-2.5403 0.0000 7.6109
Ac Ir Pt Cl
6 2 1 2
Cartesian
-0.0345 2.2217 6.0115
1.1941 0.0000 1.5969
-0.0345 -2.2217 6.0115
5.1435 2.2217 1.5994
3.9149 0.0000 6.0141
5.1435 -2.2217 1.5994
3.8247 4.3689 0.0000
3.8247 -4.3689 0.0000
3.8247 0.0000 0.0000
2.5545 2.2240 3.8055
2.5545 -2.2240 3.8055
```

Computed properties:
energy relative to the elements, uncorrected = -1.154 eV/atom
total energy = -5.891 eV per atom


# 4
Ac3IrPtCl: relaxed, GGA-PBE.

Cell and atoms, written as POSCAR:
```
Ac3IrPtCl
1.0
8.5131 0.0000 0.0000
0.0000 4.4571 0.0000
-1.1910 0.0000 10.5176
Ac Ir Pt Cl
6 2 2 2
Cartesian
0.4530 1.1143 3.7244
0.6126 1.1143 9.7299
2.5012 3.3428 6.5482
4.8210 1.1143 3.9693
6.7096 3.3428 0.7877
6.8692 3.3428 6.7932
0.4107 1.1143 6.8890
6.9115 3.3428 3.6285
2.6148 3.3428 3.5305
4.7074 1.1143 6.9871
2.6134 3.3428 9.5309
4.7088 1.1143 0.9867
```

Computed properties:
energy relative to the elements, uncorrected = -1.006 eV/atom
total energy = -5.852 eV per atom


# 5
Ac4IrPt2Cl: relaxed, GGA-PBE.

Cell and atoms, written as POSCAR:
```
Ac4IrPt2Cl
1.0
-3.0991 3.0991 6.3168
3.0991 -3.0991 6.3168
3.0991 3.0991 -6.3168
Ac Ir Pt Cl
4 1 2 1
Cartesian
3.0991 0.0000 0.0000
0.0000 0.0000 2.9098
0.0000 3.0991 0.0000
0.0000 0.0000 9.7239
0.0000 0.0000 0.0000
3.0991 0.0000 3.1584
0.0000 3.0991 3.1584
0.0000 0.0000 6.3168
```

Computed properties:
energy relative to the elements, uncorrected = -1.200 eV/atom
total energy = -6.103 eV per atom


# 6
Ac8Ir3PtCl3: relaxed, GGA-PBE.

Cell and atoms, written as POSCAR:
```
Ac8Ir3PtCl3
1.0
4.3874 2.5331 7.7173
-4.3874 2.5331 7.7173
0.0000 -5.0662 7.7173
Ac Ir Pt Cl
8 3 1 3
Cartesian
-2.2449 -1.2961 13.1815
0.0000 0.0000 5.4579
0.0000 -2.5922 9.9703
-2.2449 1.2961 9.9703
2.2449 -1.2961 13.1815
0.0000 2.5922 13.1815
0.0000 0.0000 17.6939
2.2449 1.2961 9.9703
-4.3874 0.0000 11.5759
-2.1937 1.2665 3.8586
2.1937 1.2665 3.8586
0.0000 0.0000 11.5759
-2.1937 -1.2665 7.7173
-2.1937 1.2665 15.4345
0.0000 2.5331 7.7173
```

Computed properties:
energy relative to the elements, uncorrected = -1.189 eV/atom
total energy = -5.924 eV per atom


# 7
Ac6IrRh2Cl3: relaxed, GGA-PBE.

Cell and atoms, written as POSCAR:
```
Ac6IrRh2Cl3
1.0
10.1492 -2.1606 0.0000
10.1492 2.1606 0.0000
-3.2524 0.0000 8.8598
Ac Ir Rh Cl
6 1 2 3
Cartesian
-0.5183 0.0000 1.9716
5.1136 0.0000 3.9249
4.0895 0.0000 7.8881
12.9566 0.0000 0.9717
11.9325 0.0000 4.9349
17.5643 0.0000 6.8882
10.1492 0.0000 0.0000
2.3053 0.0000 2.9633
14.7407 0.0000 5.8965
0.6804 0.0000 7.3849
8.5230 0.0000 4.4299
16.3656 0.0000 1.4748
```

Computed properties:
energy relative to the elements, uncorrected = -1.273 eV/atom
total energy = -5.752 eV per atom


# 8
Ac8Ir3RhCl3: relaxed, GGA-PBE.

Cell and atoms, written as POSCAR:
```
Ac8Ir3RhCl3
1.0
7.5424 -4.3540 0.0000
7.5424 4.3540 0.0000
-5.0266 0.0000 7.8103
Ac Ir Rh Cl
8 3 1 3
Cartesian
3.7715 2.1886 5.5100
0.0079 0.0000 5.5058
2.5004 0.0000 2.3024
6.2867 2.1886 2.3002
3.7715 -2.1886 5.5100
7.5578 0.0000 5.5079
10.0503 0.0000 2.3045
6.2867 -2.1886 2.3002
-2.5133 0.0000 3.9051
1.2579 2.1770 3.9051
1.2579 -2.1770 3.9051
5.0291 0.0000 3.9051
3.7712 2.1770 0.0000
3.7712 -2.1770 0.0000
7.5424 0.0000 0.0000
```

Computed properties:
energy relative to the elements, uncorrected = -1.136 eV/atom
total energy = -5.959 eV per atom


# 9
Ac6Ir3Rh2Cl: relaxed, GGA-PBE.

Cell and atoms, written as POSCAR:
```
Ac6Ir3Rh2Cl
1.0
9.3981 -2.1611 0.0000
9.3981 2.1611 0.0000
-1.9040 0.0000 8.5255
Ac Ir Rh Cl
6 3 2 1
Cartesian
-0.4911 0.0000 2.3021
4.3745 0.0000 7.7835
5.4668 0.0000 3.5117
11.4255 0.0000 5.0138
12.5177 0.0000 0.7419
17.3834 0.0000 6.2234
1.3877 0.0000 7.1266
8.4461 0.0000 4.2627
15.5046 0.0000 1.3988
2.4472 0.0000 2.8003
14.4451 0.0000 5.7252
9.3981 0.0000 0.0000
```

Computed properties:
energy relative to the elements, uncorrected = -0.788 eV/atom
total energy = -6.437 eV per atom


# 10
Ac6IrRu2Cl2: relaxed, GGA-PBE.

Cell and atoms, written as POSCAR:
```
Ac6IrRu2Cl2
1.0
3.7568 -6.4737 0.0000
3.7568 6.4737 0.0000
-2.6043 0.0000 7.8287
Ac Ir Ru Cl
6 1 2 2
Cartesian
-0.1007 2.2070 6.2227
1.2488 0.0000 1.5638
-0.1007 -2.2070 6.2227
5.0099 2.2070 1.6060
3.6604 0.0000 6.2648
5.0099 -2.2070 1.6060
3.7568 0.0000 0.0000
3.7568 4.2564 0.0000
3.7568 -4.2564 0.0000
2.4546 2.1569 3.9143
2.4546 -2.1569 3.9143
```

Computed properties:
energy relative to the elements, uncorrected = -0.828 eV/atom
total energy = -5.896 eV per atom


# 11
Ac8Ir3RuCl3: relaxed, GGA-PBE.

Cell and atoms, written as POSCAR:
```
Ac8Ir3RuCl3
1.0
7.5243 -4.3438 0.0000
7.5243 4.3438 0.0000
-5.0188 0.0000 7.8548
Ac Ir Ru Cl
8 3 1 3
Cartesian
-0.0291 0.0000 5.5256
3.7809 2.1966 5.5271
6.2489 2.1966 2.3277
2.5006 0.0000 2.3396
7.5292 0.0000 5.5152
3.7809 -2.1966 5.5271
6.2489 -2.1966 2.3277
10.0589 0.0000 2.3292
1.2528 2.1719 3.9274
1.2528 -2.1719 3.9274
5.0149 0.0000 3.9274
-2.5094 0.0000 3.9274
0.0000 0.0000 0.0000
3.7621 2.1719 0.0000
3.7621 -2.1719 0.0000
```

Computed properties:
energy relative to the elements, uncorrected = -1.060 eV/atom
total energy = -6.011 eV per atom


> Which value of total energy does entry 8 give?

-5.959 eV per atom